# As2WO7, optimized geometry, DFT PBE+U
# Energy in eV/atom: -6.5268
data_As2WO7
_chemical_formula_sum 'As8 W4 O28'
_cell_length_a 7.647
_cell_length_b 8.869
_cell_length_c 10.226
_cell_angle_alpha 90.00
_cell_angle_beta 94.24
_cell_angle_gamma 90.00
_space_group_name_H-M_alt 'P 1'
_space_group_IT_number 1
loop_
_space_group_symop_operation_xyz
'x,y,z'
loop_
_atom_site_label
_atom_site_type_symbol
_atom_site_fract_x
_atom_site_fract_y
_atom_site_fract_z
_atom_site_occupancy
As1 As 0.078 0.241 0.245 1
As2 As 0.078 0.259 0.745 1
As3 As 0.340 0.223 0.008 1
As4 As 0.340 0.277 0.508 1
As5 As 0.660 0.723 0.492 1
As6 As 0.660 0.777 0.992 1
As7 As 0.922 0.741 0.255 1
As8 As 0.922 0.759 0.755 1
W1 W 0.316 0.564 0.195 1
W2 W 0.316 0.936 0.695 1
W3 W 0.684 0.064 0.305 1
W4 W 0.684 0.436 0.805 1
O1 O 0.104 0.066 0.746 1
O2 O 0.104 0.434 0.246 1
O3 O 0.133 0.160 0.101 1
O4 O 0.133 0.340 0.601 1
O5 O 0.142 0.722 0.235 1
O6 O 0.142 0.778 0.735 1
O7 O 0.195 0.160 0.380 1
O8 O 0.195 0.340 0.880 1
O9 O 0.384 0.121 0.614 1
O10 O 0.384 0.379 0.114 1
O11 O 0.407 0.687 0.080 1
O12 O 0.407 0.813 0.580 1
O13 O 0.462 0.567 0.336 1
O14 O 0.462 0.933 0.836 1
O15 O 0.538 0.067 0.164 1
O16 O 0.538 0.433 0.664 1
O17 O 0.593 0.187 0.420 1
O18 O 0.593 0.313 0.920 1
O19 O 0.616 0.621 0.886 1
O20 O 0.616 0.879 0.386 1
O21 O 0.805 0.660 0.120 1
O22 O 0.805 0.840 0.620 1
O23 O 0.858 0.222 0.265 1
O24 O 0.858 0.278 0.765 1
O25 O 0.867 0.660 0.399 1
O26 O 0.867 0.840 0.899 1
O27 O 0.896 0.566 0.754 1
O28 O 0.896 0.934 0.254 1